The following is a DFT calculation (PBE-GGA) of a geometry-optimized MgCd3Hg2 structure.

The energy of formation from the pure elements is -0.033 eV/atom. For the total energy, the calculation gives -20.56 eV for the cell shown. The value obtained for the distance to the lowest polymorph of the same formula is 18.6 meV per atom. The calculation puts the total magnetization at 0.00 μB per atom. The density of states at the Fermi level is 0.35 states/eV/atom.

The space group is C2/m (No. 12) and the conventional cell measures 16.744, 3.303 and 10.412 Å, with angles of 90.00, 106.28 and 90.00 degrees. The distinct sites, in fractional coordinates, are Mg at (0.088, 0.000, 0.456), Cd at (0.079, 0.000, 0.947), Cd at (0.092, 0.500, 0.205), Cd at (0.244, 0.500, 0.621), Hg at (0.066, 0.500, 0.683) and Hg at (0.242, 0.000, 0.870).

***

The following is a DFT calculation (PBE-GGA) of a geometry-optimized Ta2CrCl structure.

For the total energy, the calculation gives -103.57 eV for the cell shown. The value obtained for the distance to the lowest polymorph of the same formula is 185.5 meV per atom. The calculation puts the total magnetization at 0.73 μB per atom. The formation energy without anion corrections is 0.1633 eV/atom. The density of states at the Fermi level is 0.74 states/eV/atom.

The space group is R3m (No. 160, hexagonal axes) and the conventional cell measures 3.0438, 3.0438 and 28.6748 Å, with angles of 90.00, 90.00 and 120.00 degrees. The distinct sites, in fractional coordinates, are Ta at (0.0000, 0.0000, 0.0000), Ta at (0.0000, 0.0000, 0.2472), Cr at (0.0000, 0.0000, 0.7378) and Cl at (0.0000, 0.0000, 0.5177).

***

The following is a DFT calculation (PBE-GGA) of a geometry-optimized SrIr2Rh2 structure.

The energy of formation from the pure elements is 0.026 eV/atom. For the total energy, the calculation gives -67.95 eV for the cell shown. The value obtained for the distance to the lowest polymorph of the same formula is 0.0 meV per atom. The calculation puts the total magnetization at 0.00 μB per atom. The density of states at the Fermi level is 1.34 states/eV/atom.

The space group is I4/mmm (No. 139) and the conventional cell measures 4.270, 4.270 and 10.635 Å, with angles of 90.00, 90.00 and 90.00 degrees. The distinct sites, in fractional coordinates, are Sr at (0.000, 0.000, 0.000), Ir at (0.000, 0.000, 0.389) and Rh at (0.000, 0.500, 0.250).

***

The following is a DFT calculation (PBE-GGA) of a geometry-optimized Tb2CePm6Er3 structure.

The energy of formation from the pure elements is 0.038 eV/atom. For the total energy, the calculation gives -113.86 eV for the cell shown. The calculation puts the total magnetization at 0.11 μB per atom. The density of states at the Fermi level is 1.60 states/eV/atom.

The space group is C2/m (No. 12) and the conventional cell measures 6.232, 10.797 and 11.853 Å, with angles of 90.00, 100.11 and 90.00 degrees. The distinct sites, in fractional coordinates, are Tb at (0.000, 0.166, 0.000), Ce at (0.000, 0.500, 0.000), Pm at (0.248, 0.500, 0.749), Pm at (0.249, 0.334, 0.251), Er at (0.000, 0.000, 0.500) and Er at (0.000, 0.333, 0.500).

***

The following is a DFT calculation (PBE-GGA) of a geometry-optimized BaGa4Ag2 structure.

The energy of formation from the pure elements is -0.157 eV/atom. For the total energy, the calculation gives -20.83 eV for the cell shown. The calculation puts the total magnetization at 0.00 μB per atom. The density of states at the Fermi level is 0.49 states/eV/atom.

The space group is P-1 (No. 2) and the conventional cell measures 4.823, 6.443 and 6.448 Å, with angles of 63.46, 68.43 and 68.22 degrees. The distinct sites, in fractional coordinates, are Ba at (0.000, 0.000, 0.000), Ga at (0.303, 0.401, 0.010), Ga at (0.304, 0.008, 0.401) and Ag at (0.182, 0.573, 0.575).

***

The following is a DFT calculation (PBE-GGA) of a geometry-optimized Tb2Pm3Dy structure.

The energy of formation from the pure elements is 0.005 eV/atom. For the total energy, the calculation gives -56.17 eV for the cell shown. The value obtained for the distance to the lowest polymorph of the same formula is 18.5 meV per atom. The calculation puts the total magnetization at 0.00 μB per atom. The density of states at the Fermi level is 1.23 states/eV/atom.

The space group is P-1 (No. 2) and the conventional cell measures 7.258, 7.259 and 8.965 Å, with angles of 78.21, 78.20 and 60.09 degrees. The distinct sites, in fractional coordinates, are Tb at (0.137, 0.139, 0.169), Tb at (0.138, 0.639, 0.167), Pm at (0.249, 0.250, 0.498), Pm at (0.361, 0.361, 0.832), Pm at (0.361, 0.861, 0.834) and Dy at (0.249, 0.751, 0.499).